# 1
An optimized crystal structure of SrCa5Tl6. Source: Alexandria via LeMat-Bulk, functional PBE.

Values from the calculation:
Formation energy from the elements in eV per atom: -0.436
E_tot in eV/atom: -2.5931

Lattice parameters (Å, degrees): 5.5516 16.7381 7.8156 90.00 90.00 90.00
Space group Cmmm (No. 65)
Inequivalent atoms, fractional coordinates:
Sr 0.0000 0.0000 0.0000 x2
Ca 0.0000 0.0000 0.5000 x2
Ca 0.0000 0.3325 0.0000 x4
Ca 0.0000 0.3349 0.5000 x4
Tl 0.0000 0.1697 0.2574 x8
Tl 0.0000 0.5000 0.2621 x4

# 2
An optimized crystal structure of SrCa3Tl3. Source: Alexandria via LeMat-Bulk, functional PBE.

Values from the calculation:
Formation energy from the elements in eV per atom: -0.337
E_tot in eV/atom: -2.4492

Lattice parameters (Å, degrees): 11.1427 11.1427 6.6759 90.00 90.00 120.00
Space group R3m (No. 160, hexagonal axes)
Inequivalent atoms, fractional coordinates:
Sr 0.0000 0.0000 0.0000 x3
Ca 0.0002 0.5001 0.0008 x9
Tl 0.9999 0.4999 0.5008 x9

# 3
An optimized crystal structure of Sr6Ca2Tl. Source: Alexandria via LeMat-Bulk, functional PBE.

Values from the calculation:
Formation energy from the elements in eV per atom: -0.057
Polymorph energy (0 for the lowest one) in eV/atom: 0.000
E_tot in eV/atom: -1.8860

Lattice parameters (Å, degrees): 19.9104 8.1750 14.3898 90.00 131.67 90.00
Space group C2/c (No. 15)
Inequivalent atoms, fractional coordinates:
Sr 0.0839 0.1837 0.4636 x8
Sr 0.1572 0.4392 0.8104 x8
Sr 0.1783 0.0481 0.2973 x8
Ca 0.0872 0.3198 0.0020 x8
Tl 0.0000 0.1336 0.7500 x4

# 4
An optimized crystal structure of SrCa2Tl. Source: Alexandria via LeMat-Bulk, functional PBE.

Values from the calculation:
Formation energy from the elements in eV per atom: -0.173
Polymorph energy (0 for the lowest one) in eV/atom: 0.080
E_tot in eV/atom: -2.1855

Lattice parameters (Å, degrees): 4.5402 5.6008 5.6678 90.00 90.00 90.00
Space group Pmmm (No. 47)
Inequivalent atoms, fractional coordinates:
Sr 0.0000 0.0000 0.0000 x1
Ca 0.0000 0.5000 0.5000 x1
Ca 0.5000 0.0000 0.5000 x1
Tl 0.5000 0.5000 0.0000 x1

# 5
An optimized crystal structure of SrCa2Tl3. Source: Alexandria via LeMat-Bulk, functional PBE.

Values from the calculation:
Formation energy from the elements in eV per atom: -0.425
E_tot in eV/atom: -2.5556

Lattice parameters (Å, degrees): 5.5987 5.5987 6.8840 90.00 90.00 120.00
Space group P-3m1 (No. 164)
Inequivalent atoms, fractional coordinates:
Sr 0.0000 0.0000 0.0000 x1
Ca 0.3333 0.6667 0.6612 x2
Tl 0.0000 0.0000 0.5000 x1
Tl 0.3333 0.6667 0.1733 x2

# 6
An optimized crystal structure of Sr2Ca6Tl. Source: Alexandria via LeMat-Bulk, functional PBE.

Values from the calculation:
Formation energy from the elements in eV per atom: -0.035
E_tot in eV/atom: -2.0063

Lattice parameters (Å, degrees): 17.3419 11.4439 3.9249 90.00 103.05 90.00
Space group C2/m (No. 12)
Inequivalent atoms, fractional coordinates:
Sr 0.1316 0.0000 0.1299 x4
Ca 0.0000 0.2567 0.5000 x4
Ca 0.1783 0.3446 0.1789 x8
Tl 0.0000 0.5000 0.0000 x2